a) Below is crystalline CaZr at its relaxed geometry, with properties calculated at the PBE-GGA level.

Cell: 3.3166 3.3166 5.9301 Å, 90.00 90.00 120.00°
Element x y z (fractional)
1 Ca 0.0000 0.0000 0.0000
2 Zr 0.6667 0.3333 0.5000

SG ... P-6m2 (187)
Density ... 3.9 g/cm³
DOS at the Fermi energy ... 2.73 states/eV per cell
Spin magnetization ... 0.00 Bohr magnetons per cell
Volume ... 28.25 A^3/atom



b) Below is crystalline CaZr at its relaxed geometry, with properties calculated at the PBE-GGA level.

Cell: 6.7949 6.7949 6.7949 Å, 151.54 126.23 61.95°
Element x y z (fractional)
1 Ca 0.3615 0.6115 0.2500
2 Ca 0.6385 0.3885 0.7500
3 Zr 0.8981 0.1481 0.2500
4 Zr 0.1019 0.8519 0.7500

SG ... Imma (74)
Density ... 3.6 g/cm³
DOS at the Fermi energy ... 5.32 states/eV per cell
Spin magnetization ... 0.00 Bohr magnetons per cell
Volume ... 29.90 A^3/atom



c) Below is crystalline CaZr at its relaxed geometry, with properties calculated at the PBE-GGA level.

Cell: 9.2929 9.2929 9.2929 Å, 90.00 90.00 90.00°
Last column: magnetic moment on the atom in μB.
Element x y z (fractional)
1 Ca 0.2500 0.0000 0.5000  0.28
2 Ca 0.7500 0.0000 0.5000  0.28
3 Ca 0.0000 0.5000 0.2500  0.28
4 Ca 0.0000 0.5000 0.7500  0.28
5 Ca 0.5000 0.2500 0.0000  0.28
6 Ca 0.5000 0.7500 0.0000  0.28
7 Zr 0.2500 0.5000 0.0000  1.83
8 Zr 0.7500 0.5000 0.0000  1.83
9 Zr 0.5000 0.0000 0.2500  1.83
10 Zr 0.5000 0.0000 0.7500  1.83
11 Zr 0.0000 0.2500 0.5000  1.83
12 Zr 0.0000 0.7500 0.5000  1.83

SG ... Pm-3n (223)
Density ... 1.6 g/cm³
DOS at the Fermi energy ... 42.04 states/eV per cell
Spin magnetization ... 25.25 Bohr magnetons per cell
Volume ... 66.88 A^3/atom



Verdict on stability: a) comes out on top.



a) Below is crystalline CaZr at its relaxed geometry, with properties calculated at the PBE-GGA level.

Cell: 6.2835 6.2835 6.2835 Å, 30.46 30.46 30.46°
Element x y z (fractional)
1 Ca 0.0000 0.0000 0.0000
2 Zr 0.5000 0.5000 0.5000

SG ... R-3m (166)
Density ... 3.9 g/cm³
DOS at the Fermi energy ... 1.79 states/eV per cell
Spin magnetization ... 0.00 Bohr magnetons per cell
Volume ... 28.26 A^3/atom



b) Below is crystalline CaZr at its relaxed geometry, with properties calculated at the PBE-GGA level.

Cell: 4.2336 8.3845 3.4742 Å, 90.00 90.00 90.00°
Element x y z (fractional)
1 Ca 0.0000 0.1661 0.5000
2 Ca 0.5000 0.8339 0.0000
3 Zr 0.0000 0.5755 0.5000
4 Zr 0.5000 0.4245 0.0000

SG ... Pmmn (59)
Density ... 3.5 g/cm³
DOS at the Fermi energy ... 6.01 states/eV per cell
Spin magnetization ... 0.00 Bohr magnetons per cell
Volume ... 30.83 A^3/atom



Verdict on stability: b) comes out on top.



a) Below is crystalline CaZr at its relaxed geometry, with properties calculated at the PBE-GGA level.

Cell: 3.2715 3.2715 5.2772 Å, 90.00 90.00 90.00°
Element x y z (fractional)
1 Ca 0.0000 0.0000 0.0000
2 Zr 0.5000 0.5000 0.5000

SG ... P4/mmm (123)
Density ... 3.9 g/cm³
DOS at the Fermi energy ... 3.23 states/eV per cell
Spin magnetization ... 0.00 Bohr magnetons per cell
Volume ... 28.24 A^3/atom



b) Below is crystalline CaZr at its relaxed geometry, with properties calculated at the PBE-GGA level.

Cell: 11.9684 3.3778 11.9728 Å, 90.00 90.00 90.00°
Element x y z (fractional)
1 Ca 0.8732 0.2500 0.0628
2 Ca 0.3732 0.2500 0.4372
3 Ca 0.1268 0.7500 0.9372
4 Ca 0.6268 0.7500 0.5628
5 Ca 0.1756 0.2500 0.2146
6 Ca 0.6756 0.2500 0.2854
7 Ca 0.8244 0.7500 0.7854
8 Ca 0.3244 0.7500 0.7146
9 Zr 0.8910 0.2500 0.5167
10 Zr 0.3910 0.2500 0.9833
11 Zr 0.1090 0.7500 0.4833
12 Zr 0.6090 0.7500 0.0167
13 Zr 0.0677 0.2500 0.6913
14 Zr 0.5677 0.2500 0.8087
15 Zr 0.9323 0.7500 0.3087
16 Zr 0.4323 0.7500 0.1913

SG ... Pnma (62)
Density ... 3.6 g/cm³
DOS at the Fermi energy ... 17.35 states/eV per cell
Spin magnetization ... 0.00 Bohr magnetons per cell
Volume ... 30.25 A^3/atom



Verdict on stability: b) comes out on top.



a) Below is crystalline CaZr at its relaxed geometry, with properties calculated at the PBE-GGA level.

Cell: 7.5632 7.5632 7.5632 Å, 90.00 90.00 90.00°
Last column: magnetic moment on the atom in μB.
Element x y z (fractional)
1 Ca 0.2500 0.2500 0.2500  0.28
2 Ca 0.2500 0.7500 0.7500  0.28
3 Ca 0.7500 0.2500 0.7500  0.28
4 Ca 0.7500 0.7500 0.2500  0.28
5 Zr 0.0000 0.0000 0.0000  1.81
6 Zr 0.0000 0.5000 0.5000  1.81
7 Zr 0.5000 0.0000 0.5000  1.81
8 Zr 0.5000 0.5000 0.0000  1.81

SG ... F-43m (216)
Density ... 2.0 g/cm³
DOS at the Fermi energy ... 20.73 states/eV per cell
Spin magnetization ... 16.07 Bohr magnetons per cell
Volume ... 54.08 A^3/atom



b) Below is crystalline CaZr at its relaxed geometry, with properties calculated at the PBE-GGA level.

Cell: 11.3244 11.3244 3.2926 Å, 90.00 90.00 120.00°
Element x y z (fractional)
1 Ca 0.7587 0.0587 0.2500
2 Ca 0.7000 0.7587 0.7500
3 Ca 0.9413 0.7000 0.2500
4 Ca 0.2414 0.9413 0.7500
5 Ca 0.3000 0.2414 0.2500
6 Ca 0.0587 0.3000 0.7500
7 Zr 0.8540 0.3981 0.2500
8 Zr 0.4560 0.8540 0.7500
9 Zr 0.6019 0.4560 0.2500
10 Zr 0.1460 0.6019 0.7500
11 Zr 0.5440 0.1460 0.2500
12 Zr 0.3981 0.5440 0.7500

SG ... P6_3/m (176)
Density ... 3.6 g/cm³
DOS at the Fermi energy ... 16.18 states/eV per cell
Spin magnetization ... 0.00 Bohr magnetons per cell
Volume ... 30.47 A^3/atom



Verdict on stability: b) comes out on top.



a) Below is crystalline CaZr at its relaxed geometry, with properties calculated at the PBE-GGA level.

Cell: 5.1512 5.1512 10.5673 Å, 90.00 90.00 120.00°
Element x y z (fractional)
1 Ca 0.3333 0.6667 0.0838
2 Ca 0.6667 0.3333 0.5838
3 Ca 0.6667 0.3333 0.9162
4 Ca 0.3333 0.6667 0.4162
5 Zr 0.0000 0.0000 0.2500
6 Zr 0.0000 0.0000 0.7500
7 Zr 0.3333 0.6667 0.7500
8 Zr 0.6667 0.3333 0.2500

SG ... P6_3/mmc (194)
Density ... 3.6 g/cm³
DOS at the Fermi energy ... 17.39 states/eV per cell
Spin magnetization ... 0.00 Bohr magnetons per cell
Volume ... 30.35 A^3/atom



b) Below is crystalline CaZr at its relaxed geometry, with properties calculated at the PBE-GGA level.

Cell: 6.9685 6.9685 8.1645 Å, 75.44 75.44 28.23°
Element x y z (fractional)
1 Ca 0.3397 0.3397 0.3298
2 Ca 0.6607 0.6607 0.6929
3 Ca 0.6063 0.6063 0.2544
4 Zr 0.9797 0.9797 0.9876
5 Zr 0.9410 0.9410 0.6410
6 Zr 0.3060 0.3060 0.9277

SG ... Cm (8)
Density ... 3.6 g/cm³
DOS at the Fermi energy ... 6.20 states/eV per cell
Spin magnetization ... 0.00 Bohr magnetons per cell
Volume ... 30.19 A^3/atom



Verdict on stability: b) comes out on top.



a) Below is crystalline Ca3Zr at its relaxed geometry, with properties calculated at the PBE-GGA level.

Cell: 6.8351 6.8351 6.8351 Å, 117.23 117.23 117.23°
Last column: magnetic moment on the atom in μB.
Element x y z (fractional)
1 Ca 0.0000 0.0000 0.0000  0.02
2 Ca 0.5000 0.5000 0.0000  0.02
3 Ca 0.0000 0.5000 0.5000  0.02
4 Zr 0.5000 0.0000 0.5000  0.83

SG ... R-3m (166)
Density ... 2.6 g/cm³
DOS at the Fermi energy ... 5.01 states/eV per cell
Spin magnetization ... 1.75 Bohr magnetons per cell
Volume ... 33.90 A^3/atom



b) Below is crystalline Ca3Zr at its relaxed geometry, with properties calculated at the PBE-GGA level.

Cell: 3.5954 3.5954 10.6347 Å, 90.00 90.00 90.00°
Element x y z (fractional)
1 Ca 0.0000 0.0000 0.9681
2 Ca 0.5000 0.5000 0.2500
3 Ca 0.0000 0.0000 0.5319
4 Zr 0.5000 0.5000 0.7500

SG ... P4/mmm (123)
Density ... 2.6 g/cm³
DOS at the Fermi energy ... 5.89 states/eV per cell
Spin magnetization ... 0.00 Bohr magnetons per cell
Volume ... 34.37 A^3/atom



Verdict on stability: b) comes out on top.